{"formula": "CeTm2PbC", "functional": "PBE", "state": "relaxed", "lattice_angstrom": [[4.8811, 0.0000, 0.0000], [0.0000, 4.8811, 0.0000], [0.0000, 0.0000, 4.9509]], "species": ["Ce", "Tm", "Tm", "Pb", "C"], "frac_coords": [[0.0000, 0.0000, 0.0000], [0.0000, 0.5000, 0.5000], [0.5000, 0.0000, 0.5000], [0.5000, 0.5000, 0.0000], [0.0000, 0.0000, 0.5000]], "delta_e_f_ev_per_atom": -0.460, "m_tot_mub_per_atom": 0.131, "energy_ev_per_atom": -6.0221, "dos_ef_per_ev_atom": 1.352}